The following is a PBE with a Hubbard U calculation of Mn2GeIrO after structural relaxation, from Alexandria via LeMat-Bulk.

Computed properties:
Density ... 8.69 g cm⁻³
VASP energy ... -6.908 eV per atom
Fermi-level density of states ... 1.54 states/eV/f.u.
Size of the total moment ... 9.188 Bohr magnetons per cell

Cell: 4.0671 4.0671 4.5134 Å, 90.00 90.00 90.00°
Closest atoms and distances in Å follow each position.
Space group P4/mmm (No. 123)
Asymmetric unit:
Mn (0.0000, 0.5000, 0.0000) [2 per cell]  2 O 2.03
Ge (0.0000, 0.0000, 0.5000) [1 per cell]  2 O 2.26
Ir (0.5000, 0.5000, 0.5000) [1 per cell]  4 Ge 2.88, 8 Mn 3.04
O (0.0000, 0.0000, 0.0000) [1 per cell]  4 Mn 2.03, 2 Ge 2.26